Arrangement 1

DFT (GGA-PBE) results for a geometry-optimized PmYSc structure.

Lattice parameters (Å, degrees): 3.5220 3.5220 14.6504 90.00 90.00 90.00
Atoms (fractional coordinates):
Pm  0.0000  0.0000  0.0000
Pm  0.5000  0.5000  0.5000
Y  0.0000  0.0000  0.6787
Y  0.5000  0.5000  0.1787
Sc  0.0000  0.0000  0.3388
Sc  0.5000  0.5000  0.8388

Results
size of the total moment: 0.000 μB per atom

Arrangement 2

DFT (GGA-PBE) results for a geometry-optimized PmYSc structure.

Lattice parameters (Å, degrees): 3.4787 5.2580 10.1224 90.00 99.87 90.00
Atoms (fractional coordinates):
Pm  0.2044  0.2500  0.4095
Pm  0.7956  0.7500  0.5905
Y  0.3914  0.2500  0.7823
Y  0.6086  0.7500  0.2177
Sc  0.0378  0.2500  0.0772
Sc  0.9622  0.7500  0.9228

Results
size of the total moment: 0.000 μB per atom

Arrangement 3

DFT (GGA-PBE) results for a geometry-optimized PmYSc structure.

Lattice parameters (Å, degrees): 5.4837 5.4837 3.4563 90.00 90.00 120.00
Atoms (fractional coordinates):
Pm  0.0000  0.0000  0.0000
Y  0.6667  0.3333  0.5000
Sc  0.3333  0.6667  0.0000

Results
size of the total moment: 0.000 μB per atom

Ranked by calculated energy, most stable first: arrangement 2, arrangement 1, arrangement 3.

Arrangement 1

DFT (GGA-PBE) results for a geometry-optimized Pm6Y2Sc structure.

Lattice parameters (Å, degrees): 6.2009 6.2009 8.5577 103.85 103.85 71.45
Atoms (fractional coordinates):
Pm  0.1685  0.1685  0.5903
Pm  0.1801  0.7050  0.7893
Pm  0.2950  0.8199  0.2107
Pm  0.7050  0.1801  0.7893
Pm  0.8199  0.2950  0.2107
Pm  0.8315  0.8315  0.4097
Y  0.2761  0.2761  0.0410
Y  0.7239  0.7239  0.9590
Sc  0.5000  0.5000  0.5000

Results
size of the total moment: 0.000 μB per atom

Arrangement 2

DFT (GGA-PBE) results for a geometry-optimized Pm6Y2Sc structure.

Lattice parameters (Å, degrees): 3.6102 3.6102 26.6124 90.00 90.00 120.00
Atoms (fractional coordinates):
Pm  0.0000  0.0000  0.0668
Pm  0.0000  0.0000  0.2842
Pm  0.0000  0.0000  0.7158
Pm  0.0000  0.0000  0.9332
Pm  0.3333  0.6667  0.3986
Pm  0.3333  0.6667  0.6014
Y  0.3333  0.6667  0.1739
Y  0.3333  0.6667  0.8261
Sc  0.0000  0.0000  0.5000

Results
size of the total moment: 0.001 μB per atom

Ranked by calculated energy, most stable first: arrangement 2, arrangement 1.

Arrangement 1

DFT (GGA-PBE) results for a geometry-optimized PmY4Sc3 structure.

Lattice parameters (Å, degrees): 11.4666 12.8157 3.3203 90.00 90.00 90.00
Atoms (fractional coordinates):
Pm  0.0000  0.0000  0.0000
Pm  0.5000  0.5000  0.0000
Y  0.0000  0.2611  0.0000
Y  0.0000  0.7389  0.0000
Y  0.2393  0.5000  0.5000
Y  0.2607  0.0000  0.5000
Y  0.5000  0.2389  0.0000
Y  0.5000  0.7611  0.0000
Y  0.7393  0.0000  0.5000
Y  0.7607  0.5000  0.5000
Sc  0.0000  0.5000  0.0000
Sc  0.2500  0.2500  0.5000
Sc  0.2500  0.7500  0.5000
Sc  0.5000  0.0000  0.0000
Sc  0.7500  0.2500  0.5000
Sc  0.7500  0.7500  0.5000

Results
size of the total moment: 0.489 μB per atom

Arrangement 2

DFT (GGA-PBE) results for a geometry-optimized PmY4Sc3 structure.

Lattice parameters (Å, degrees): 3.3417 11.2558 12.6403 90.00 90.00 90.00
Atoms (fractional coordinates):
Pm  0.0000  0.0000  0.0000
Pm  0.5000  0.5000  0.5000
Y  0.0000  0.2551  0.1322
Y  0.0000  0.2551  0.8678
Y  0.0000  0.7449  0.1322
Y  0.0000  0.7449  0.8678
Y  0.5000  0.2449  0.3678
Y  0.5000  0.2449  0.6322
Y  0.5000  0.7551  0.3678
Y  0.5000  0.7551  0.6322
Sc  0.0000  0.0000  0.5000
Sc  0.0000  0.5000  0.2592
Sc  0.0000  0.5000  0.7408
Sc  0.5000  0.0000  0.2408
Sc  0.5000  0.0000  0.7592
Sc  0.5000  0.5000  0.0000

Results
size of the total moment: 0.000 μB per atom

Ranked by calculated energy, most stable first: arrangement 2, arrangement 1.